A plane-wave DFT calculation with GGA+U was carried out for a relaxed structure of Mg2B2MoO6.

As for the total energy: -6.99 eV per atom. Its symmetry is P-3 (147).

abc: 4.9116 4.9116 7.3999
angles: 90.00 90.00 120.00
Fractional coordinates of all 11 atoms:
Mg: 0.3333 0.6667 0.2836
Mg: 0.6667 0.3333 0.7164
B: 0.3333 0.6667 0.8222
B: 0.6667 0.3333 0.1778
Mo: 0.0000 0.0000 0.0000
O: 0.0573 0.6782 0.8224
O: 0.3218 0.3791 0.8224
O: 0.3791 0.0573 0.1776
O: 0.6209 0.9427 0.8224
O: 0.6782 0.6209 0.1776
O: 0.9427 0.3218 0.1776